# Cu2Ag

A geometry-optimized Cu2Ag structure (PBE, OQMD).

```
data_Cu2Ag
_symmetry_space_group_name_H-M 'I m m m'
_symmetry_Int_Tables_number 71
_symmetry_space_group_name_Hall '-I 2 2'
_cell_length_a 2.7287
_cell_length_b 3.6728
_cell_length_c 24.9431
_cell_angle_alpha 90.00
_cell_angle_beta 90.00
_cell_angle_gamma 90.00
loop_
_atom_site_label
_atom_site_fract_x
_atom_site_fract_y
_atom_site_fract_z
Cu1 0.0000 0.0000 0.0586
Cu2 0.0000 0.0000 0.1577
Cu3 0.0000 0.0000 0.3917
Ag1 0.0000 0.0000 0.2843
Ag2 0.0000 0.0000 0.5000
```

Total DFT energy (no corrections)   -3.34 eV/atom
Excess energy over the best structure of this formula in the dataset   3.3 kJ/mol of atoms

=====

# ThPaHg

A geometry-optimized ThPaHg structure (PBE, OQMD).

```
data_ThPaHg
_symmetry_space_group_name_H-M 'F -4 3 m'
_symmetry_Int_Tables_number 216
_symmetry_space_group_name_Hall 'F -4 2 3'
_cell_length_a 7.2189
_cell_length_b 7.2189
_cell_length_c 7.2189
_cell_angle_alpha 90.00
_cell_angle_beta 90.00
_cell_angle_gamma 90.00
loop_
_atom_site_label
_atom_site_fract_x
_atom_site_fract_y
_atom_site_fract_z
Th1 0.0000 0.0000 0.0000
Pa1 0.0000 0.0000 0.5000
Hg1 0.2500 0.2500 0.7500
```

Total DFT energy (no corrections)   -5.22 eV/atom
Excess energy over the best structure of this formula in the dataset   0.0 kJ/mol of atoms